Al2Co | PBE-GGA | relaxed

```
Al2Co
1.0
-6.345 2.091 0.822
5.431 -1.902 -3.493
-1.364 -4.204 0.169
Al Co
4 2
direct
0.634 0.366 0.750
0.937 0.063 0.750
0.063 0.937 0.250
0.366 0.634 0.250
0.286 0.714 0.750
0.714 0.286 0.250
```

Calculated values
Formation enthalpy at 0 K: -234 meV per atom
Crystal system: orthorhombic